(1)
Crystalline MgVCl3 at its relaxed geometry, computed with PBE.

Cell: 4.909 4.909 4.909 Å, 90.00 90.00 90.00°
Site moments in Bohr magnetons follow the coordinates.
Fractional coordinates of all 5 atoms:
Mg: 0.500 0.500 0.500  0.13
V: 0.000 0.000 0.000  2.58
Cl: 0.000 0.500 0.000  0.01
Cl: 0.000 0.000 0.500  0.01
Cl: 0.500 0.000 0.000  0.01

Output
**Formation energy (no corrections)**: -764.9 meV/atom

***

(2)
Crystalline Mg2VCl2 at its relaxed geometry, computed with PBE.

Cell: 4.350 4.350 6.741 Å, 71.18 71.18 90.00°
Site moments in Bohr magnetons follow the coordinates.
Fractional coordinates of all 5 atoms:
Mg: 0.377 0.377 0.247  0.01
Mg: 0.623 0.623 0.753  0.01
V: 0.000 0.000 0.000  3.15
Cl: 0.750 0.250 0.500  0.03
Cl: 0.250 0.750 0.500  0.03

Output
**Formation energy (no corrections)**: -204.8 meV/atom

***

(3)
Crystalline MgVCl2 at its relaxed geometry, computed with PBE.

Cell: 11.097 11.097 11.097 Å, 17.72 17.72 17.72°
Site moments in Bohr magnetons follow the coordinates.
Fractional coordinates of all 4 atoms:
Mg: 0.500 0.500 0.500  0.00
V: 0.000 0.000 0.000  3.02
Cl: 0.878 0.878 0.878  0.00
Cl: 0.122 0.122 0.122  0.00

Output
**Formation energy (no corrections)**: -516.5 meV/atom

***

(4)
Crystalline Mg2VCl2 at its relaxed geometry, computed with PBE.

Cell: 9.140 9.140 3.279 Å, 90.00 90.00 90.00°
Site moments in Bohr magnetons follow the coordinates.
Fractional coordinates of all 10 atoms:
Mg: 0.256 0.756 0.000  0.00
Mg: 0.756 0.744 0.000  0.00
Mg: 0.744 0.244 0.000  0.00
Mg: 0.244 0.256 0.000  0.00
V: 0.000 0.000 0.000  3.09
V: 0.500 0.500 0.000  3.09
Cl: 0.122 0.622 0.500  0.02
Cl: 0.622 0.878 0.500  0.02
Cl: 0.878 0.378 0.500  0.02
Cl: 0.378 0.122 0.500  0.02

Output
**Formation energy (no corrections)**: 60.3 meV/atom